1.
A geometry-optimized NaMnBiS3 structure. Source: Alexandria, functional PBE-GGA.

It has space group P2_1/m (No. 11), with a = 8.345 Å, b = 4.038 Å, c = 9.062 Å, α = 90.00°, β = 98.30° and γ = 90.00°. The distinct sites, in fractional coordinates, are Na at (0.153, 0.250, 0.180), Mn at (0.090, 0.250, 0.577), Bi at (0.350, 0.750, 0.847), S at (0.117, 0.250, 0.847), S at (0.192, 0.750, 0.502) and S at (0.399, 0.750, 0.142).

Its volume is 25.18 Å³ per atom. The value obtained for the formation energy without anion corrections is -58.3 kJ per mole of atoms.

---

2.
A geometry-optimized RePb2Cl structure. Source: Alexandria, functional PBE-GGA.

It has space group F-43m (No. 216), with a = 7.118 Å, b = 7.118 Å, c = 7.118 Å, α = 90.00°, β = 90.00° and γ = 90.00°. The distinct sites, in fractional coordinates, are Re at (0.000, 0.000, 0.000), Pb at (0.000, 0.000, 0.500), Pb at (0.250, 0.250, 0.750) and Cl at (0.250, 0.250, 0.250).

Its volume is 22.54 Å³ per atom. For the energy relative to the lowest polymorph listed for this composition, the calculation gives 540 meV per atom. The value obtained for the formation energy without anion corrections is 95.1 kJ per mole of atoms.

---

3.
A geometry-optimized Si2Ag structure. Source: Alexandria, functional PBE-GGA.

It has space group P4/mmm (No. 123), with a = 3.537 Å, b = 3.537 Å, c = 4.277 Å, α = 90.00°, β = 90.00° and γ = 90.00°. The distinct sites, in fractional coordinates, are Si at (0.000, 0.500, 0.000) and Ag at (0.000, 0.000, 0.500).

Its volume is 17.84 Å³ per atom. For the energy relative to the lowest polymorph listed for this composition, the calculation gives 32 meV per atom. The value obtained for the formation energy without anion corrections is 33.5 kJ per mole of atoms.